#a
Density functional theory data (GGA-PBE) for an optimized crystal structure of In2GaTe4.

Output
Crystal system: tetragonal
Calculated volume, Å³ per atom: 38.29

Lattice parameters (Å, degrees): 7.468 7.468 7.468 125.18 125.18 81.24
Fractional positions:
In1 0.250 0.750 0.500
In2 0.750 0.250 0.500
Ga1 0.000 0.000 0.000
Te1 0.139 0.649 0.000
Te2 0.351 0.351 0.490
Te3 0.649 0.139 0.000
Te4 0.861 0.861 0.510

***

#b
Density functional theory data (GGA-PBE) for an optimized crystal structure of In2GaTe4.

Output
Crystal system: tetragonal
Calculated volume, Å³ per atom: 32.52

Lattice parameters (Å, degrees): 8.410 8.410 8.410 141.62 141.62 55.41
Fractional positions:
In1 0.116 0.116 0.000
In2 0.884 0.884 0.000
Ga1 0.500 0.500 0.000
Te1 0.000 0.500 0.500
Te2 0.306 0.306 0.000
Te3 0.500 0.000 0.500
Te4 0.694 0.694 0.000

***

The structure with the least stability is #b.

***

#a
Density functional theory data (GGA-PBE) for an optimized crystal structure of InGaTe3.

Output
Crystal system: monoclinic
Calculated volume, Å³ per atom: 35.43

Lattice parameters (Å, degrees): 7.544 8.294 13.519 90.00 123.09 90.00
Fractional positions:
In1 0.069 0.243 0.494
In2 0.069 0.257 0.994
In3 0.931 0.743 0.006
In4 0.931 0.757 0.506
Ga1 0.286 0.539 0.857
Ga2 0.286 0.961 0.357
Ga3 0.714 0.039 0.643
Ga4 0.714 0.461 0.143
Te1 0.096 0.050 0.678
Te2 0.096 0.450 0.178
Te3 0.276 0.549 0.659
Te4 0.276 0.951 0.159
Te5 0.437 0.245 0.476
Te6 0.437 0.255 0.976
Te7 0.563 0.745 0.024
Te8 0.563 0.755 0.524
Te9 0.724 0.049 0.841
Te10 0.724 0.451 0.341
Te11 0.904 0.550 0.822
Te12 0.904 0.950 0.322

***

#b
Density functional theory data (GGA-PBE) for an optimized crystal structure of InGaTe3.

Output
Crystal system: cubic
Calculated volume, Å³ per atom: 37.34

Lattice parameters (Å, degrees): 5.715 5.715 5.715 90.00 90.00 90.00
Fractional positions:
In1 0.000 0.000 0.000
Ga1 0.500 0.500 0.500
Te1 0.000 0.000 0.500
Te2 0.000 0.500 0.000
Te3 0.500 0.000 0.000

***

#c
Density functional theory data (GGA-PBE) for an optimized crystal structure of InGaTe3.

Output
Crystal system: monoclinic
Calculated volume, Å³ per atom: 33.74

Lattice parameters (Å, degrees): 7.411 7.411 11.172 96.30 96.30 33.61
Fractional positions:
In1 0.070 0.070 0.300
In2 0.930 0.930 0.700
Ga1 0.325 0.325 0.120
Ga2 0.675 0.675 0.880
Te1 0.134 0.134 0.059
Te2 0.135 0.135 0.724
Te3 0.358 0.358 0.558
Te4 0.642 0.642 0.442
Te5 0.865 0.865 0.276
Te6 0.866 0.866 0.941

***

The structure with the least stability is #b.

***

#a
Density functional theory data (GGA-PBE) for an optimized crystal structure of In3GaTe4.

Output
Crystal system: orthorhombic
Calculated volume, Å³ per atom: 35.66

Lattice parameters (Å, degrees): 11.456 7.129 6.986 90.00 90.00 90.00
Fractional positions:
In1 0.000 0.236 0.000
In2 0.249 0.286 0.470
In3 0.251 0.714 0.970
In4 0.500 0.764 0.500
In5 0.749 0.714 0.970
In6 0.751 0.286 0.470
Ga1 0.000 0.817 0.436
Ga2 0.500 0.183 0.936
Te1 0.000 0.182 0.529
Te2 0.000 0.780 0.053
Te3 0.213 0.700 0.539
Te4 0.287 0.300 0.039
Te5 0.500 0.220 0.553
Te6 0.500 0.818 0.029
Te7 0.713 0.300 0.039
Te8 0.787 0.700 0.539

***

#b
Density functional theory data (GGA-PBE) for an optimized crystal structure of In3GaTe4.

Output
Crystal system: tetragonal
Calculated volume, Å³ per atom: 32.25

Lattice parameters (Å, degrees): 7.004 7.004 7.004 104.57 104.57 119.79
Fractional positions:
In1 0.000 0.000 0.000
In2 0.000 0.500 0.500
In3 0.500 0.000 0.500
Ga1 0.500 0.500 0.000
Te1 0.091 0.444 0.000
Te2 0.444 0.091 0.000
Te3 0.556 0.556 0.647
Te4 0.909 0.909 0.353

***

The structure with the least stability is #a.

***

#a
Density functional theory data (GGA-PBE) for an optimized crystal structure of ThInGa.

Output
Crystal system: orthorhombic
Calculated volume, Å³ per atom: 25.22

Lattice parameters (Å, degrees): 5.096 5.096 6.289 90.00 90.00 112.04
Fractional positions:
Th1 0.154 0.846 0.750
Th2 0.846 0.154 0.250
In1 0.500 0.500 0.000
In2 0.500 0.500 0.500
Ga1 0.203 0.797 0.250
Ga2 0.797 0.203 0.750

***

#b
Density functional theory data (GGA-PBE) for an optimized crystal structure of ThInGa.

Output
Crystal system: orthorhombic
Calculated volume, Å³ per atom: 25.49

Lattice parameters (Å, degrees): 5.876 3.325 7.828 90.00 90.00 90.00
Fractional positions:
Th1 0.250 0.000 0.201
Th2 0.750 0.000 0.799
In1 0.250 0.500 0.825
In2 0.750 0.500 0.175
Ga1 0.000 0.500 0.500
Ga2 0.500 0.500 0.500

***

#c
Density functional theory data (GGA-PBE) for an optimized crystal structure of ThInGa.

Output
Crystal system: orthorhombic
Calculated volume, Å³ per atom: 28.39

Lattice parameters (Å, degrees): 3.914 4.436 4.904 90.00 90.00 90.00
Fractional positions:
Th1 0.000 0.000 0.000
In1 0.000 0.500 0.500
Ga1 0.500 0.000 0.500

***

The structure with the least stability is #c.

***

#a
Density functional theory data (GGA-PBE) for an optimized crystal structure of ThInGa.

Output
Crystal system: trigonal
Calculated volume, Å³ per atom: 25.43

Lattice parameters (Å, degrees): 4.511 4.511 4.330 90.00 90.00 120.00
Fractional positions:
Th1 0.000 0.000 0.000
In1 0.333 0.667 0.543
Ga1 0.667 0.333 0.402

***

#b
Density functional theory data (GGA-PBE) for an optimized crystal structure of ThInGa.

Output
Crystal system: tetragonal
Calculated volume, Å³ per atom: 25.13

Lattice parameters (Å, degrees): 6.387 6.387 6.387 147.39 147.39 46.78
Fractional positions:
Th1 0.000 0.000 0.000
In1 0.303 0.303 0.000
Ga1 0.670 0.670 0.000

***

The structure with the least stability is #b.

***

#a
Density functional theory data (GGA-PBE) for an optimized crystal structure of Th2InGa.

Output
Crystal system: tetragonal
Calculated volume, Å³ per atom: 26.78

Lattice parameters (Å, degrees): 3.465 3.465 8.923 90.00 90.00 90.00
Fractional positions:
Th1 0.000 0.000 0.231
Th2 0.000 0.000 0.769
In1 0.500 0.500 0.500
Ga1 0.500 0.500 0.000

***

#b
Density functional theory data (GGA-PBE) for an optimized crystal structure of Th2InGa.

Output
Crystal system: tetragonal
Calculated volume, Å³ per atom: 26.84

Lattice parameters (Å, degrees): 4.903 4.903 4.466 90.00 90.00 90.00
Fractional positions:
Th1 0.000 0.500 0.000
Th2 0.500 0.000 0.000
In1 0.000 0.000 0.500
Ga1 0.500 0.500 0.500

***

#c
Density functional theory data (GGA-PBE) for an optimized crystal structure of Th2InGa.

Output
Crystal system: cubic
Calculated volume, Å³ per atom: 27.41

Lattice parameters (Å, degrees): 5.372 5.372 5.372 60.00 60.00 60.00
Fractional positions:
Th1 0.250 0.250 0.250
Th2 0.750 0.750 0.750
In1 0.000 0.000 0.000
Ga1 0.500 0.500 0.500

***

The structure with the least stability is #c.

***

#a
Density functional theory data (GGA-PBE) for an optimized crystal structure of Ti4InGa.

Output
Crystal system: monoclinic
Calculated volume, Å³ per atom: 17.42

Lattice parameters (Å, degrees): 5.176 5.176 7.461 110.99 110.99 34.33
Fractional positions:
Ti1 0.165 0.165 0.344
Ti2 0.169 0.169 0.822
Ti3 0.831 0.831 0.178
Ti4 0.835 0.835 0.656
In1 0.500 0.500 0.000
Ga1 0.500 0.500 0.500

***

#b
Density functional theory data (GGA-PBE) for an optimized crystal structure of Ti4InGa.

Output
Crystal system: monoclinic
Calculated volume, Å³ per atom: 18.65

Lattice parameters (Å, degrees): 7.818 7.818 5.649 95.72 95.72 40.68
Fractional positions:
Ti1 0.015 0.828 0.587
Ti2 0.172 0.985 0.913
Ti3 0.182 0.486 0.922
Ti4 0.486 0.182 0.422
Ti5 0.514 0.818 0.578
Ti6 0.818 0.514 0.078
Ti7 0.828 0.015 0.087
Ti8 0.985 0.172 0.413
In1 0.411 0.589 0.250
In2 0.589 0.411 0.750
Ga1 0.000 0.500 0.500
Ga2 0.500 0.000 0.000

***

The structure with the least stability is #b.

***

#a
Density functional theory data (GGA-PBE) for an optimized crystal structure of TiIn3Ga.

Output
Crystal system: cubic
Calculated volume, Å³ per atom: 27.80

Lattice parameters (Å, degrees): 5.180 5.180 5.180 90.00 90.00 90.00
Fractional positions:
Ti1 0.000 0.000 0.000
In1 0.000 0.500 0.500
In2 0.500 0.000 0.500
In3 0.500 0.500 0.000
Ga1 0.500 0.500 0.500

***

#b
Density functional theory data (GGA-PBE) for an optimized crystal structure of TiIn3Ga.

Output
Crystal system: cubic
Calculated volume, Å³ per atom: 31.23

Lattice parameters (Å, degrees): 5.385 5.385 5.385 90.00 90.00 90.00
Fractional positions:
Ti1 0.000 0.000 0.000
In1 0.000 0.000 0.500
In2 0.000 0.500 0.000
In3 0.500 0.000 0.000
Ga1 0.500 0.500 0.500

***

The structure with the least stability is #a.